# BeTl4P

An optimized crystal structure of BeTl4P (PBE, Alexandria via LeMat-Bulk).

Results
N(E_F)	4.74	states/eV/f.u.
ΔE_f	0.88	eV per atom

a b c (Å): 6.3040 6.3040 6.3040
angles (deg): 60.00 60.00 60.00
Sites, in units of the cell vectors:
Be 0.0000 0.0000 0.0000
Tl 0.3754 0.3754 0.3754
Tl 0.3754 0.3754 0.8739
Tl 0.3754 0.8739 0.3754
Tl 0.8739 0.3754 0.3754
P 0.7500 0.7500 0.7500

=====

# PmInOsO6

An optimized crystal structure of PmInOsO6 (PBE, Alexandria via LeMat-Bulk).

Results
N(E_F)	3.86	states/eV/f.u.
raw formation energy	-1780	meV/atom

a b c (Å): 5.4413 5.4413 9.8777
angles (deg): 90.00 90.00 120.00
Sites, in units of the cell vectors:
Pm 0.0000 0.0000 0.0000
Pm 0.0000 0.0000 0.5000
In 0.3333 0.6667 0.2500
In 0.6667 0.3333 0.7500
Os 0.3333 0.6667 0.7500
Os 0.6667 0.3333 0.2500
O 0.0344 0.3754 0.6389
O 0.0344 0.6590 0.8611
O 0.3410 0.3754 0.8611
O 0.3410 0.9656 0.6389
O 0.3754 0.0344 0.1389
O 0.3754 0.3410 0.3611
O 0.6246 0.6590 0.6389
O 0.6246 0.9656 0.8611
O 0.6590 0.0344 0.3611
O 0.6590 0.6246 0.1389
O 0.9656 0.3410 0.1389
O 0.9656 0.6246 0.3611

=====

# AlCd3Ga

An optimized crystal structure of AlCd3Ga (PBE, Alexandria via LeMat-Bulk).

Results
N(E_F)	2.84	states/eV/f.u.
polymorph energy (0 for the lowest one)	52	meV per atom
ΔE_f	0.45	eV per atom

a b c (Å): 5.1812 5.1812 5.1812
angles (deg): 90.00 90.00 90.00
Sites, in units of the cell vectors:
Al 0.0000 0.0000 0.0000
Cd 0.0000 0.5000 0.5000
Cd 0.5000 0.0000 0.5000
Cd 0.5000 0.5000 0.0000
Ga 0.5000 0.5000 0.5000

=====

# Pm2PuAl3Pt4

An optimized crystal structure of Pm2PuAl3Pt4 (PBE, Alexandria via LeMat-Bulk).

Results
N(E_F)	10.33	states/eV/f.u.
ΔE_f	-0.97	eV per atom

a b c (Å): 4.3896 4.3896 10.7228
angles (deg): 90.00 90.00 90.00
Sites, in units of the cell vectors:
Pm 0.0000 0.5000 0.2322
Pm 0.5000 0.0000 0.7678
Pu 0.0000 0.0000 0.5000
Al 0.0000 0.5000 0.8841
Al 0.5000 0.0000 0.1159
Al 0.5000 0.5000 0.5000
Pt 0.0000 0.0000 0.0000
Pt 0.0000 0.5000 0.6544
Pt 0.5000 0.0000 0.3456
Pt 0.5000 0.5000 0.0000

=====

# K3RbH

An optimized crystal structure of K3RbH (PBE, Alexandria via LeMat-Bulk).

Results
N(E_F)	2.70	states/eV/f.u.
calculated total energy	-7.30	eV per formula unit

a b c (Å): 6.3836 6.3836 6.3836
angles (deg): 90.00 90.00 90.00
Sites, in units of the cell vectors:
K 0.0000 0.0000 0.5000
K 0.0000 0.5000 0.0000
K 0.5000 0.0000 0.0000
Rb 0.5000 0.5000 0.5000
H 0.0000 0.0000 0.0000

=====

# BaHg2BRu

An optimized crystal structure of BaHg2BRu (PBE, Alexandria via LeMat-Bulk).

Results
N(E_F)	4.00	states/eV/f.u.
ΔE_f	0.46	eV per atom

a b c (Å): 5.0089 5.0089 4.4001
angles (deg): 90.00 90.00 90.00
Sites, in units of the cell vectors:
Ba 0.0000 0.0000 0.0000
Hg 0.0000 0.5000 0.5000
Hg 0.5000 0.0000 0.5000
B 0.5000 0.5000 0.5000
Ru 0.5000 0.5000 0.0000

=====

# Rb2HWCl6

An optimized crystal structure of Rb2HWCl6 (PBE, Alexandria via LeMat-Bulk).

Results
N(E_F)	7.68	states/eV/f.u.
calculated total energy	-39.14	eV per formula unit

a b c (Å): 7.0727 7.0727 7.0727
angles (deg): 114.41 114.41 99.99
Sites, in units of the cell vectors:
Rb 0.2500 0.7500 0.5000
Rb 0.7500 0.2500 0.5000
H 0.0000 0.0000 0.0000
W 0.5000 0.5000 0.0000
Cl 0.2411 0.2411 0.0000
Cl 0.2770 0.2770 0.5539
Cl 0.2770 0.7230 0.0000
Cl 0.7230 0.2770 0.0000
Cl 0.7230 0.7230 0.4461
Cl 0.7589 0.7589 0.0000

=====

# ZrTcAg3

An optimized crystal structure of ZrTcAg3 (PBE, Alexandria via LeMat-Bulk).

Results
N(E_F)	6.16	states/eV/f.u.
polymorph energy (0 for the lowest one)	418	meV per atom
ΔE_f	1.83	eV per atom

a b c (Å): 5.1693 5.1693 5.1693
angles (deg): 90.00 90.00 90.00
Sites, in units of the cell vectors:
Zr 0.0000 0.0000 0.0000
Tc 0.5000 0.5000 0.5000
Ag 0.0000 0.0000 0.5000
Ag 0.0000 0.5000 0.0000
Ag 0.5000 0.0000 0.0000

=====

# ScBe2Se

An optimized crystal structure of ScBe2Se (PBE, Alexandria via LeMat-Bulk).

Results
N(E_F)	0.94	states/eV/f.u.
raw formation energy	-125	meV/atom

a b c (Å): 5.0836 5.0836 5.0836
angles (deg): 138.54 137.60 60.80
Sites, in units of the cell vectors:
Sc 0.0000 0.0000 0.0000
Be 0.2450 0.7450 0.5000
Be 0.5702 0.5702 0.0000
Se 0.7509 0.2509 0.5000

=====

# ReAsOsBr2

An optimized crystal structure of ReAsOsBr2 (PBE, Alexandria via LeMat-Bulk).

Results
N(E_F)	3.39	states/eV/f.u.
polymorph energy (0 for the lowest one)	126	meV per atom
raw formation energy	1734	meV/atom

a b c (Å): 5.1027 5.1027 4.8235
angles (deg): 90.00 90.00 90.00
Sites, in units of the cell vectors:
Re 0.0000 0.0000 0.0000
As 0.0000 0.0000 0.5000
Os 0.5000 0.5000 0.5000
Br 0.0000 0.5000 0.0000
Br 0.5000 0.0000 0.0000

=====

# Pm3Ga5Te12

An optimized crystal structure of Pm3Ga5Te12 (PBE, Alexandria via LeMat-Bulk).

Results
N(E_F)	5.10	states/eV/f.u.
raw formation energy	-660	meV/atom

a b c (Å): 15.0180 15.0180 15.0180
angles (deg): 109.47 109.47 109.47
Sites, in units of the cell vectors:
Pm 0.1250 0.2500 0.3750
Pm 0.1250 0.3750 0.7500
Pm 0.2500 0.3750 0.1250
Pm 0.2500 0.8750 0.6250
Pm 0.3750 0.1250 0.2500
Pm 0.3750 0.7500 0.1250
Pm 0.6250 0.2500 0.8750
Pm 0.6250 0.8750 0.7500
Pm 0.7500 0.1250 0.3750
Pm 0.7500 0.6250 0.8750
Pm 0.8750 0.6250 0.2500
Pm 0.8750 0.7500 0.6250
Ga 0.0000 0.0000 0.0000
Ga 0.0000 0.0000 0.5000
Ga 0.0000 0.5000 0.0000
Ga 0.0000 0.5000 0.5000
Ga 0.1250 0.7500 0.8750
Ga 0.1250 0.8750 0.2500
Ga 0.2500 0.1250 0.8750
Ga 0.2500 0.6250 0.3750
Ga 0.3750 0.2500 0.6250
Ga 0.3750 0.6250 0.7500
Ga 0.5000 0.0000 0.0000
Ga 0.5000 0.0000 0.5000
Ga 0.5000 0.5000 0.0000
Ga 0.5000 0.5000 0.5000
Ga 0.6250 0.3750 0.2500
Ga 0.6250 0.7500 0.3750
Ga 0.7500 0.3750 0.6250
Ga 0.7500 0.8750 0.1250
Ga 0.8750 0.1250 0.7500
Ga 0.8750 0.2500 0.1250
Te 0.0351 0.2108 0.1251
Te 0.0351 0.3243 0.9100
Te 0.0857 0.7108 0.6757
Te 0.0857 0.8749 0.4100
Te 0.0900 0.6251 0.4143
Te 0.0900 0.9649 0.6757
Te 0.1251 0.0351 0.2108
Te 0.1251 0.5900 0.9143
Te 0.1757 0.2108 0.5857
Te 0.1757 0.4649 0.5900
Te 0.2108 0.1251 0.0351
Te 0.2108 0.5857 0.1757
Te 0.2892 0.3243 0.9143
Te 0.2892 0.4649 0.3749
Te 0.3243 0.9100 0.0351
Te 0.3243 0.9143 0.2892
Te 0.3749 0.2892 0.4649
Te 0.3749 0.5857 0.9100
Te 0.4100 0.0857 0.8749
Te 0.4100 0.8243 0.5351
Te 0.4143 0.0900 0.6251
Te 0.4143 0.8243 0.7892
Te 0.4649 0.3749 0.2892
Te 0.4649 0.5900 0.1757
Te 0.5351 0.4100 0.8243
Te 0.5351 0.6251 0.7108
Te 0.5857 0.1757 0.2108
Te 0.5857 0.9100 0.3749
Te 0.5900 0.1757 0.4649
Te 0.5900 0.9143 0.1251
Te 0.6251 0.4143 0.0900
Te 0.6251 0.7108 0.5351
Te 0.6757 0.0857 0.7108
Te 0.6757 0.0900 0.9649
Te 0.7108 0.5351 0.6251
Te 0.7108 0.6757 0.0857
Te 0.7892 0.4143 0.8243
Te 0.7892 0.8749 0.9649
Te 0.8243 0.5351 0.4100
Te 0.8243 0.7892 0.4143
Te 0.8749 0.4100 0.0857
Te 0.8749 0.9649 0.7892
Te 0.9100 0.0351 0.3243
Te 0.9100 0.3749 0.5857
Te 0.9143 0.1251 0.5900
Te 0.9143 0.2892 0.3243
Te 0.9649 0.6757 0.0900
Te 0.9649 0.7892 0.8749

=====

# ZnAsP2O

An optimized crystal structure of ZnAsP2O (PBE, Alexandria via LeMat-Bulk).

Results
N(E_F)	2.12	states/eV/f.u.
polymorph energy (0 for the lowest one)	0	meV per atom
raw formation energy	418	meV/atom

a b c (Å): 4.8758 4.8758 3.5998
angles (deg): 90.00 90.00 90.00
Sites, in units of the cell vectors:
Zn 0.0000 0.0000 0.0000
As 0.5000 0.5000 0.5000
P 0.0000 0.5000 0.5000
P 0.5000 0.0000 0.5000
O 0.5000 0.5000 0.0000